1.
## Ac8Ir2Ru (PBE-GGA)

Data for crystalline Ac8Ir2Ru at its relaxed geometry. Values from VASP.

**Calculated density**: 9.091 g/cm3
**Crystal system**: monoclinic
**Energy above the lowest structure with this stoichiometry**: 0 meV/atom

```
&SYSTEM
  ibrav = 0, nat = 11, ntyp = 3
/
ATOMIC_SPECIES
Ru 101.07 Ru.upf
Ac 227.00 Ac.upf
Ir 192.22 Ir.upf
ATOMIC_POSITIONS angstrom
Ru 0.0000 0.0000 0.0000
Ac 0.3895 5.5919 8.9304
Ac 2.9436 2.4256 8.0123
Ac 3.6519 1.6098 3.9342
Ac 1.0978 4.7761 4.8524
Ac 4.1249 6.3655 7.3239
Ac -0.0834 0.8362 5.5408
Ac 3.8359 4.8189 11.2395
Ac 0.2055 2.3828 1.6252
Ir -0.0019 7.0192 3.3754
Ir 4.0433 0.1825 9.4892
CELL_PARAMETERS angstrom
-1.2798 7.0585 0.4232
-1.2409 -0.7364 7.8987
6.5621 0.8796 4.5428
```



2.
## Ac7Ir3Ru (PBE-GGA)

Data for crystalline Ac7Ir3Ru at its relaxed geometry. Values from VASP.

**Total energy**: -0.23062 hartree per atom
**Calculated density**: 10.572 g/cm3
**Crystal system**: triclinic

```
&SYSTEM
  ibrav = 0, nat = 11, ntyp = 3
/
ATOMIC_SPECIES
Ir 192.22 Ir.upf
Ac 227.00 Ac.upf
Ru 101.07 Ru.upf
ATOMIC_POSITIONS angstrom
Ir -5.5261 3.1394 4.8117
Ir -7.3311 -1.7244 2.6750
Ir -2.6834 -2.0712 6.9940
Ac -2.7252 -3.1678 1.5721
Ac -4.1666 2.7960 2.0895
Ac -5.3786 -0.4816 0.6574
Ac -0.9627 0.0880 0.5971
Ac -0.7806 2.0734 3.8619
Ac -4.4894 -0.5378 5.0512
Ac -0.9365 -1.6037 4.4424
Ru -2.8996 -0.1218 2.7172
CELL_PARAMETERS angstrom
-6.7126 2.7204 -0.6008
-1.6621 -6.9412 1.6616
2.1413 3.3544 6.1533
```



3.
## Ac4Ir2Ru (PBE-GGA)

Data for crystalline Ac4Ir2Ru at its relaxed geometry. Values from VASP.

**Total energy**: -0.24273 hartree per atom
**Calculated density**: 10.913 g/cm3
**Crystal system**: monoclinic

```
&SYSTEM
  ibrav = 0, nat = 7, ntyp = 3
/
ATOMIC_SPECIES
Ac 227.00 Ac.upf
Ir 192.22 Ir.upf
Ru 101.07 Ru.upf
ATOMIC_POSITIONS angstrom
Ac 0.5680 1.8222 5.3199
Ac 4.9898 5.3379 5.1053
Ac 1.7115 1.8953 1.5426
Ac 3.8464 5.2648 8.8826
Ir 3.1845 3.2821 3.8726
Ir 2.3733 3.8780 6.5525
Ru 0.0000 0.0000 0.0000
CELL_PARAMETERS angstrom
3.9911 0.0000 1.2082
1.7025 6.9422 1.5722
-0.1358 0.2179 7.6447
```



4.
## Ac5IrRu2 (PBE-GGA)

Data for crystalline Ac5IrRu2 at its relaxed geometry. Values from VASP.

**Total energy**: -0.22912 hartree per atom
**Calculated density**: 8.768 g/cm3
**Crystal system**: orthorhombic

```
&SYSTEM
  ibrav = 0, nat = 16, ntyp = 3
/
ATOMIC_SPECIES
Ac 227.00 Ac.upf
Ru 101.07 Ru.upf
Ir 192.22 Ir.upf
ATOMIC_POSITIONS angstrom
Ac 0.0000 4.5158 0.9685
Ac 2.9088 6.1914 9.0036
Ac 0.0000 3.4016 10.9179
Ac 2.9088 3.4387 3.6393
Ac 0.0000 0.6489 5.5536
Ac 2.9088 2.3244 13.5887
Ac 0.0000 0.6489 1.7250
Ac 0.0000 4.5158 6.3101
Ac 2.9088 6.1914 12.8322
Ac 2.9088 2.3244 8.2471
Ru 0.0000 1.9699 13.6554
Ru 0.0000 1.9699 8.1804
Ru 2.9088 4.8703 6.3768
Ru 2.9088 4.8703 0.9018
Ir 0.0000 2.8456 3.6393
Ir 2.9088 3.9947 10.9179
CELL_PARAMETERS angstrom
5.8176 0.0000 0.0000
-2.9088 6.8403 0.0000
0.0000 0.0000 14.5572
```



5.
## Ac6IrRu (PBE-GGA)

Data for crystalline Ac6IrRu at its relaxed geometry. Values from VASP.

**Calculated density**: 8.494 g/cm3
**Crystal system**: monoclinic
**Energy above the lowest structure with this stoichiometry**: 4 meV/atom

```
&SYSTEM
  ibrav = 0, nat = 8, ntyp = 3
/
ATOMIC_SPECIES
Ac 227.00 Ac.upf
Ru 101.07 Ru.upf
Ir 192.22 Ir.upf
ATOMIC_POSITIONS angstrom
Ac 7.0508 5.4487 4.2747
Ac 2.3211 1.8579 0.0000
Ac 6.0260 1.9129 2.0083
Ac 3.3802 5.4130 2.0083
Ac 4.4049 8.9487 4.2747
Ac 7.0851 5.4681 0.0000
Ru 0.0000 0.0000 0.0000
Ir 4.7031 3.6630 0.0000
CELL_PARAMETERS angstrom
7.3568 0.2545 0.0000
2.0495 7.0714 0.0000
1.0247 3.5357 6.2831
```



6.
## AcIrRu (PBE-GGA)

Data for crystalline AcIrRu at its relaxed geometry. Values from VASP.

**Calculated density**: 11.947 g/cm3
**Crystal system**: monoclinic
**Energy above the lowest structure with this stoichiometry**: 209 meV/atom

```
&SYSTEM
  ibrav = 0, nat = 6, ntyp = 3
/
ATOMIC_SPECIES
Ir 192.22 Ir.upf
Ru 101.07 Ru.upf
Ac 227.00 Ac.upf
ATOMIC_POSITIONS angstrom
Ir 3.9806 -0.0324 -0.0263
Ir 1.4556 3.7050 -0.0263
Ru 3.8219 2.5820 5.3962
Ru 1.7852 1.2060 0.6391
Ac 1.4799 0.9998 3.9011
Ac 4.1271 2.7882 2.1343
CELL_PARAMETERS angstrom
4.7447 -1.1635 -0.0263
0.6915 4.8361 -0.0263
0.1708 0.1154 6.0878
```



7.
## Ac6IrRu2 (PBE-GGA)

Data for crystalline Ac6IrRu2 at its relaxed geometry. Values from VASP.

**Calculated density**: 9.051 g/cm3
**Crystal system**: monoclinic
**Energy above the lowest structure with this stoichiometry**: 137 meV/atom

```
&SYSTEM
  ibrav = 0, nat = 18, ntyp = 3
/
ATOMIC_SPECIES
Ac 227.00 Ac.upf
Ru 101.07 Ru.upf
Ir 192.22 Ir.upf
ATOMIC_POSITIONS angstrom
Ac 2.0138 6.9423 0.9826
Ac 9.1885 2.7228 8.3742
Ac 8.3696 3.5105 3.0701
Ac 4.3478 3.4762 3.6938
Ac 4.9464 4.3653 8.8835
Ac 5.1667 8.7520 2.7346
Ac 6.0357 0.9130 6.6222
Ac 8.9682 8.7263 3.7906
Ac 2.8328 6.1545 6.2866
Ac 6.2560 5.2997 0.4732
Ac 6.8546 6.1888 5.6629
Ac 2.2341 0.9387 5.5662
Ru 5.9223 2.4788 1.6440
Ru 5.2800 7.1862 7.7128
Ru 1.9005 2.0175 2.7089
Ru 9.3019 7.6476 6.6479
Ir 3.5903 1.8337 8.0701
Ir 7.6121 7.8313 1.2867
CELL_PARAMETERS angstrom
8.0437 -0.5880 -0.5692
1.5793 8.9457 1.0179
1.5793 1.3072 8.9081
```



8.
## Ac12Ir4Ru (PBE-GGA)

Data for crystalline Ac12Ir4Ru at its relaxed geometry. Values from VASP.

**Total energy**: -0.21433 hartree per atom
**Calculated density**: 8.537 g/cm3
**Crystal system**: orthorhombic

```
&SYSTEM
  ibrav = 0, nat = 17, ntyp = 3
/
ATOMIC_SPECIES
Ac 227.00 Ac.upf
Ir 192.22 Ir.upf
Ru 101.07 Ru.upf
ATOMIC_POSITIONS angstrom
Ac -3.7086 0.8123 -1.8277
Ac -3.0181 -4.9720 -5.4522
Ac -3.7818 0.8670 -5.8274
Ac -5.7269 1.1717 3.7606
Ac -5.5883 -2.2680 -3.5551
Ac -1.8359 -3.0656 -1.8820
Ac -3.1567 -1.5323 1.8636
Ac -1.5845 -6.6441 0.0777
Ac -4.9632 -4.6673 4.1358
Ac -7.1605 2.8438 -1.7693
Ac -5.0364 -4.6127 0.1361
Ac -6.9091 -0.7347 0.1905
Ir 0.4395 -4.7320 -0.9271
Ir -2.0105 2.1988 -3.8168
Ir -2.8016 0.6330 3.8981
Ir -4.3725 -1.9002 -0.8458
Ru -2.3620 -4.0990 2.9710
CELL_PARAMETERS angstrom
-4.0209 4.3977 -7.6336
0.8791 -9.4640 -1.8542
-5.6031 1.2660 7.7962
```



9.
## Ac8Ir2Ru (PBE-GGA)

Data for crystalline Ac8Ir2Ru at its relaxed geometry. Values from VASP.

**Calculated density**: 9.044 g/cm3
**Crystal system**: monoclinic
**Energy above the lowest structure with this stoichiometry**: 91 meV/atom

```
&SYSTEM
  ibrav = 0, nat = 11, ntyp = 3
/
ATOMIC_SPECIES
Ac 227.00 Ac.upf
Ir 192.22 Ir.upf
Ru 101.07 Ru.upf
ATOMIC_POSITIONS angstrom
Ac 0.3348 3.4702 4.8934
Ac 2.7017 1.0247 0.7157
Ac 5.6746 5.4584 6.2822
Ac 3.3077 10.2225 7.1406
Ac 5.6746 7.7770 2.9630
Ac 2.1034 7.0858 4.9496
Ac 3.9060 4.1613 2.9068
Ac 0.3348 5.7887 1.5742
Ir 0.6344 9.1020 6.3579
Ir 5.3749 2.1451 1.4984
Ru 0.0000 0.0000 0.0000
CELL_PARAMETERS angstrom
6.9563 -1.3165 -0.9196
-0.4735 8.5844 1.0916
-0.4735 3.9791 7.6844
```



10.
## Ac12IrRu4 (PBE-GGA)

Data for crystalline Ac12IrRu4 at its relaxed geometry. Values from VASP.

**Total energy**: -0.20924 hartree per atom
**Calculated density**: 8.097 g/cm3
**Crystal system**: orthorhombic

```
&SYSTEM
  ibrav = 0, nat = 17, ntyp = 3
/
ATOMIC_SPECIES
Ac 227.00 Ac.upf
Ru 101.07 Ru.upf
Ir 192.22 Ir.upf
ATOMIC_POSITIONS angstrom
Ac 1.8844 -3.1732 1.0705
Ac -5.4335 -3.8081 -2.1094
Ac -4.0561 -6.1414 2.7518
Ac 2.5478 -6.0112 -1.5618
Ac 0.3836 -2.8187 -2.8096
Ac -2.3780 -3.5085 0.3395
Ac 5.6033 -5.7116 0.8871
Ac 4.2258 -3.3783 -3.9741
Ac -1.1696 -4.8556 -6.1132
Ac -1.7147 -6.3465 -2.2928
Ac -0.2139 -6.7010 1.5873
Ac 1.3394 -4.6641 4.8909
Ru 0.0849 -4.7599 -0.6112
Ru -4.4971 -1.6324 -0.3852
Ru 2.4382 -1.0677 -3.9940
Ru 2.1438 -2.0598 3.7681
Ir 4.5819 -3.1274 -0.2260
CELL_PARAMETERS angstrom
-8.9942 -3.2648 -0.7704
4.8763 -2.1353 -7.9881
4.2876 -4.1196 7.5361
```



11.
## AcTbIrRu (PBE-GGA)

Data for crystalline AcTbIrRu at its relaxed geometry. Values from VASP.

**Total energy**: -0.25752 hartree per atom
**Calculated density**: 12.435 g/cm3
**Crystal system**: cubic

```
&SYSTEM
  ibrav = 0, nat = 4, ntyp = 4
/
ATOMIC_SPECIES
Ir 192.22 Ir.upf
Ac 227.00 Ac.upf
Tb 158.93 Tb.upf
Ru 101.07 Ru.upf
ATOMIC_POSITIONS angstrom
Ir 5.0432 2.9117 2.0589
Ac 7.5649 4.3676 3.0883
Tb 2.5216 1.4559 1.0294
Ru 0.0000 0.0000 0.0000
CELL_PARAMETERS angstrom
5.0432 0.0000 0.0000
2.5216 4.3676 0.0000
2.5216 1.4559 4.1178
```



12.
## Ac8Te3Ir3Ru (PBE-GGA)

Data for crystalline Ac8Te3Ir3Ru at its relaxed geometry. Values from VASP.

**E_form (uncorrected)**: -902 meV per atom
**Calculated density**: 8.900 g/cm3
**Crystal system**: trigonal

```
&SYSTEM
  ibrav = 0, nat = 15, ntyp = 4
/
ATOMIC_SPECIES
Ir 192.22 Ir.upf
Ac 227.00 Ac.upf
Ru 101.07 Ru.upf
Te 127.60 Te.upf
ATOMIC_POSITIONS angstrom
Ir -2.1916 1.2796 4.0228
Ir 2.1931 1.2802 4.0234
Ir 4.3849 -2.5181 4.0376
Ac 4.3854 0.0179 5.6849
Ac 4.3856 2.6005 2.3980
Ac -2.2420 3.8450 5.6375
Ac 0.0008 2.5425 2.3619
Ac 2.1408 -1.2865 2.4104
Ac 6.6281 -1.2846 2.4093
Ac 2.2453 3.8470 5.6364
Ac 0.0005 -0.0401 5.6488
Ru 0.0003 -2.5187 4.0370
Te 2.1928 3.7989 -0.0136
Te -2.1918 3.7983 -0.0142
Te 0.0000 0.0000 0.0000
CELL_PARAMETERS angstrom
8.7693 0.0011 0.0013
-4.3837 7.5967 -0.0284
0.0005 -5.0374 8.0739
```